Record 1
Material: InOsSCl2
Method: DFT, PBE-GGA
State: optimized geometry

Values from the calculation:
Volume in Å³/f.u.: 133
E_form (uncorrected) in eV per atom: 0.9833
Polymorph energy (0 for the lowest one) in eV per atom: 1.028

```
InOsSCl2
1.0
5.117 0.000 0.000
0.000 5.117 0.000
0.000 0.000 5.086
In Os S Cl
1 1 1 2
Direct
0.000 0.000 0.000
0.500 0.500 0.500
0.000 0.000 0.500
0.000 0.500 0.000
0.500 0.000 0.000
```

***

Record 2
Material: Mg3Np3ZnN8
Method: DFT, PBE-GGA
State: optimized geometry

Values from the calculation:
Volume in Å³/f.u.: 194
E_form (uncorrected) in eV per atom: -0.6608

```
Mg3Np3ZnN8
1.0
3.292 1.901 5.159
-3.292 1.901 5.159
0.000 -3.802 5.159
Mg Np Zn N
3 3 1 8
Direct
0.000 0.500 0.500
0.500 0.000 0.500
0.500 0.500 0.000
0.000 0.000 0.500
0.000 0.500 0.000
0.500 0.000 0.000
0.500 0.500 0.500
0.234 0.743 0.743
0.253 0.253 0.253
0.257 0.257 0.766
0.257 0.766 0.257
0.743 0.234 0.743
0.743 0.743 0.234
0.747 0.747 0.747
0.766 0.257 0.257
```

***

Record 3
Material: NaRh2F
Method: DFT, PBE-GGA
State: optimized geometry

Values from the calculation:
Volume in Å³/f.u.: 61
E_form (uncorrected) in eV per atom: 0.5756
Polymorph energy (0 for the lowest one) in eV per atom: 0.322

```
NaRh2F
1.0
0.000 3.122 3.122
3.122 0.000 3.122
3.122 3.122 0.000
Na Rh F
1 2 1
Direct
0.000 0.000 0.000
0.250 0.250 0.250
0.750 0.750 0.750
0.500 0.500 0.500
```

***

Record 4
Material: VSi2AgMo
Method: DFT, PBE-GGA
State: optimized geometry

Values from the calculation:
Volume in Å³/f.u.: 100
E_form (uncorrected) in eV per atom: 1.7743

```
VSi2AgMo
1.0
4.574 0.000 0.000
0.000 4.574 0.000
0.000 0.000 4.803
V Si Ag Mo
1 2 1 1
Direct
0.000 0.000 0.000
0.000 0.500 0.500
0.500 0.000 0.500
0.000 0.000 0.500
0.500 0.500 0.000
```

***

Record 5
Material: SrAlOs2
Method: DFT, PBE-GGA
State: optimized geometry

Values from the calculation:
Volume in Å³/f.u.: 71
Energy of formation from the pure elements in eV/atom: 0.831

```
SrAlOs2
1.0
3.020 0.000 0.000
0.000 4.688 0.000
0.000 0.000 5.013
Sr Al Os
1 1 2
Direct
0.000 0.000 0.000
0.500 0.000 0.500
0.000 0.500 0.500
0.500 0.500 0.000
```

***

Record 6
Material: BaBr4Cl
Method: DFT, PBE-GGA
State: optimized geometry

Values from the calculation:
Volume in Å³/f.u.: 177
E_form (uncorrected) in eV per atom: -0.6894

```
BaBr4Cl
1.0
0.000 4.459 4.459
4.459 0.000 4.459
4.459 4.459 0.000
Ba Br Cl
1 4 1
Direct
0.000 0.000 0.000
0.125 0.625 0.625
0.625 0.125 0.625
0.625 0.625 0.125
0.625 0.625 0.625
0.250 0.250 0.250
```

***

Record 7
Material: CrMoAs2
Method: DFT, PBE-GGA
State: optimized geometry

Values from the calculation:
Volume in Å³/f.u.: 64
Polymorph energy (0 for the lowest one) in eV per atom: 0.355
Energy of formation from the pure elements in eV/atom: 0.158

```
CrMoAs2
1.0
1.538 0.888 7.820
-1.538 0.888 7.820
0.000 -1.776 7.820
Cr Mo As
1 1 2
Direct
0.000 0.000 0.000
0.250 0.250 0.250
0.505 0.505 0.505
0.737 0.737 0.737
```

***

Record 8
Material: AlNi14Ge
Method: DFT, PBE-GGA
State: optimized geometry

Values from the calculation:
Volume in Å³/f.u.: 178
Energy of formation from the pure elements in eV/atom: -0.153

```
AlNi14Ge
1.0
5.034 0.000 0.000
0.000 5.034 0.000
0.000 0.000 7.019
Al Ni Ge
1 14 1
Direct
0.000 0.000 0.000
0.000 0.000 0.500
0.000 0.500 0.000
0.000 0.500 0.500
0.250 0.250 0.254
0.250 0.250 0.746
0.250 0.750 0.254
0.250 0.750 0.746
0.500 0.000 0.000
0.500 0.000 0.500
0.500 0.500 0.500
0.750 0.250 0.254
0.750 0.250 0.746
0.750 0.750 0.254
0.750 0.750 0.746
0.500 0.500 0.000
```

***

Record 9
Material: NaLaS2N
Method: DFT, PBE-GGA
State: optimized geometry

Values from the calculation:
Volume in Å³/f.u.: 142
E_form (uncorrected) in eV per atom: -0.2013
Polymorph energy (0 for the lowest one) in eV per atom: 0.000

```
NaLaS2N
1.0
5.683 0.000 0.000
0.000 5.683 0.000
0.000 0.000 4.408
Na La S N
1 1 2 1
Direct
0.000 0.000 0.000
0.500 0.500 0.500
0.000 0.500 0.500
0.500 0.000 0.500
0.500 0.500 0.000
```

***

Record 10
Material: Y5RuRh2
Method: DFT, PBE-GGA
State: optimized geometry

Values from the calculation:
Volume in Å³/f.u.: 193
Energy of formation from the pure elements in eV/atom: -0.548

```
Y5RuRh2
1.0
7.606 0.000 0.000
0.000 11.971 0.000
0.000 0.000 4.246
Y Ru Rh
10 2 4
Direct
0.000 0.000 0.000
0.164 0.297 0.000
0.176 0.590 0.500
0.324 0.090 0.500
0.336 0.797 0.000
0.500 0.500 0.000
0.664 0.203 0.000
0.676 0.910 0.500
0.824 0.410 0.500
0.836 0.703 0.000
0.000 0.500 0.000
0.500 0.000 0.000
0.040 0.832 0.500
0.460 0.332 0.500
0.540 0.668 0.500
0.960 0.168 0.500
```

***

Record 11
Material: TlHgW2
Method: DFT, PBE-GGA
State: optimized geometry

Values from the calculation:
Volume in Å³/f.u.: 74
Polymorph energy (0 for the lowest one) in eV per atom: 0.710
Energy of formation from the pure elements in eV/atom: 1.305

```
TlHgW2
1.0
0.000 3.326 3.326
3.326 0.000 3.326
3.326 3.326 0.000
Tl Hg W
1 1 2
Direct
0.000 0.000 0.000
0.500 0.500 0.500
0.250 0.250 0.250
0.750 0.750 0.750
```

***

Record 12
Material: BaSrSnO4
Method: DFT, PBE-GGA
State: optimized geometry

Values from the calculation:
Volume in Å³/f.u.: 114
E_form (uncorrected) in eV per atom: -2.3359

```
BaSrSnO4
1.0
2.950 -6.540 0.000
2.950 6.540 0.000
0.000 0.000 5.904
Ba Sr Sn O
2 2 2 8
Direct
0.102 0.898 0.750
0.898 0.102 0.250
0.393 0.607 0.750
0.607 0.393 0.250
0.252 0.748 0.250
0.748 0.252 0.750
0.000 0.500 0.000
0.000 0.500 0.500
0.094 0.906 0.250
0.414 0.586 0.250
0.500 0.000 0.000
0.500 0.000 0.500
0.586 0.414 0.750
0.906 0.094 0.750
```

***

Record 13
Material: K3GaPd2O6
Method: DFT, PBE-GGA
State: optimized geometry

Values from the calculation:
Volume in Å³/f.u.: 163
E_form (uncorrected) in eV per atom: -1.0482

```
K3GaPd2O6
1.0
2.749 -5.005 0.000
2.749 5.005 0.000
-1.727 0.000 5.917
K Ga Pd O
3 1 2 6
Direct
0.000 0.000 0.000
0.328 0.672 0.000
0.672 0.328 0.000
0.500 0.500 0.500
0.163 0.837 0.500
0.837 0.163 0.500
0.112 0.429 0.327
0.247 0.247 0.682
0.429 0.112 0.327
0.571 0.888 0.673
0.753 0.753 0.318
0.888 0.571 0.673
```

***

Record 14
Material: Ba2Fe2I
Method: DFT, PBE-GGA
State: optimized geometry

Values from the calculation:
Volume in Å³/f.u.: 151
E_form (uncorrected) in eV per atom: 0.0173

```
Ba2Fe2I
1.0
-1.904 1.904 10.407
1.904 -1.904 10.407
1.904 1.904 -10.407
Ba Fe I
2 2 1
Direct
0.123 0.123 0.000
0.877 0.877 0.000
0.250 0.750 0.500
0.750 0.250 0.500
0.500 0.500 0.000
```

***

Record 15
Material: PmAl3Cu3
Method: DFT, PBE-GGA
State: optimized geometry

Values from the calculation:
Volume in Å³/f.u.: 123
Polymorph energy (0 for the lowest one) in eV per atom: 0.054
Energy of formation from the pure elements in eV/atom: -0.219

```
PmAl3Cu3
1.0
6.979 0.000 0.000
0.000 4.360 0.000
-2.847 0.000 8.116
Pm Al Cu
2 6 6
Direct
0.211 0.250 0.272
0.789 0.750 0.728
0.139 0.250 0.888
0.228 0.750 0.729
0.456 0.250 0.712
0.544 0.750 0.288
0.772 0.250 0.271
0.861 0.750 0.112
0.027 0.250 0.580
0.216 0.750 0.031
0.383 0.750 0.518
0.617 0.250 0.482
0.784 0.250 0.969
0.973 0.750 0.420
```

***

Record 16
Material: CsCaZr2Se
Method: DFT, PBE-GGA
State: optimized geometry

Values from the calculation:
Volume in Å³/f.u.: 161
E_form (uncorrected) in eV per atom: 0.2561

```
CsCaZr2Se
1.0
5.233 0.000 0.000
0.000 5.233 0.000
0.000 0.000 5.889
Cs Ca Zr Se
1 1 2 1
Direct
0.000 0.000 0.000
0.500 0.500 0.000
0.000 0.500 0.500
0.500 0.000 0.500
0.500 0.500 0.500
```

***

Record 17
Material: Rb2HfSnBr6
Method: DFT, PBE-GGA
State: optimized geometry

Values from the calculation:
Volume in Å³/f.u.: 415
E_form (uncorrected) in eV per atom: -1.1325

```
Rb2HfSnBr6
1.0
-4.318 4.318 5.565
4.318 -4.318 5.565
4.318 4.318 -5.565
Rb Hf Sn Br
2 1 1 6
Direct
0.250 0.750 0.500
0.750 0.250 0.500
0.000 0.000 0.000
0.500 0.500 0.000
0.217 0.217 0.435
0.217 0.783 0.000
0.236 0.236 0.000
0.764 0.764 0.000
0.783 0.217 0.000
0.783 0.783 0.565
```

***

Record 18
Material: BaIN2O
Method: DFT, PBE-GGA
State: optimized geometry

Values from the calculation:
Volume in Å³/f.u.: 204
E_form (uncorrected) in eV per atom: 1.6121

```
BaIN2O
1.0
5.464 0.000 0.000
0.000 5.464 0.000
0.000 0.000 6.844
Ba I N O
1 1 2 1
Direct
0.000 0.000 0.000
0.000 0.000 0.500
0.000 0.500 0.000
0.500 0.000 0.000
0.500 0.500 0.500
```

***

Record 19
Material: RbGe3B4O12
Method: DFT, PBE-GGA
State: optimized geometry

Values from the calculation:
Volume in Å³/f.u.: 214
E_form (uncorrected) in eV per atom: -1.8527

```
RbGe3B4O12
1.0
4.776 2.758 2.705
-4.776 2.758 2.705
0.000 -5.515 2.705
Rb Ge B O
1 3 4 12
Direct
0.000 0.000 0.000
0.000 0.547 0.453
0.453 0.000 0.547
0.547 0.453 0.000
0.057 0.500 0.943
0.500 0.500 0.500
0.500 0.943 0.057
0.943 0.057 0.500
0.002 0.240 0.412
0.094 0.906 0.500
0.240 0.412 0.002
0.353 0.647 0.500
0.412 0.002 0.240
0.500 0.094 0.906
0.500 0.353 0.647
0.588 0.760 0.998
0.647 0.500 0.353
0.760 0.998 0.588
0.906 0.500 0.094
0.998 0.588 0.760
```

***

Record 20
Material: NdMgCu
Method: DFT, PBE-GGA
State: optimized geometry

Values from the calculation:
Volume in Å³/f.u.: 76
Energy of formation from the pure elements in eV/atom: -0.035

```
NdMgCu
1.0
0.000 3.359 3.359
3.359 0.000 3.359
3.359 3.359 0.000
Nd Mg Cu
1 1 1
Direct
0.000 0.000 0.000
0.500 0.500 0.500
0.250 0.250 0.250
```

***

| no. | uncorrected energy (eV per atom) |
| --- | --- |
| 1 | -3.37 |
| 2 | -8.09 |
| 3 | -3.90 |
| 4 | -4.96 |
| 5 | -6.14 |
| 6 | -2.43 |
| 7 | -7.28 |
| 8 | -5.73 |
| 9 | -4.77 |
| 10 | -7.59 |
| 11 | -5.84 |
| 12 | -6.26 |
| 13 | -4.92 |
| 14 | -4.45 |
| 15 | -4.26 |
| 16 | -4.43 |
| 17 | -3.73 |
| 18 | -3.40 |
| 19 | -6.90 |
| 20 | -3.52 |